Run w
{"formula": "KPrSnSe3", "functional": "PBE", "state": "optimized geometry", "crystal_system": "orthorhombic", "sg": "Pnma, No. 62", "cell": [[15.526, 0.000, 0.000], [0.000, 4.290, 0.000], [0.000, 0.000, 12.535]], "species": ["Se", "Se", "Se", "Se", "Se", "Se", "Se", "Se", "Se", "Se", "Se", "Se", "Sn", "Sn", "Sn", "Sn", "Pr", "Pr", "Pr", "Pr", "K", "K", "K", "K"], "frac_coords": [[0.104, 0.250, 0.951], [0.593, 0.750, 0.223], [0.407, 0.250, 0.777], [0.093, 0.750, 0.277], [0.907, 0.250, 0.723], [0.366, 0.250, 0.174], [0.634, 0.750, 0.826], [0.896, 0.750, 0.049], [0.866, 0.250, 0.326], [0.604, 0.250, 0.549], [0.396, 0.750, 0.451], [0.134, 0.750, 0.674], [0.542, 0.250, 0.912], [0.958, 0.750, 0.412], [0.042, 0.250, 0.588], [0.458, 0.750, 0.088], [0.001, 0.250, 0.149], [0.999, 0.750, 0.851], [0.499, 0.750, 0.649], [0.501, 0.250, 0.351], [0.265, 0.750, 0.901], [0.735, 0.250, 0.099], [0.235, 0.250, 0.401], [0.765, 0.750, 0.599]]}

Run x
{"formula": "KPrSnSe3", "functional": "PBE", "state": "optimized geometry", "crystal_system": "orthorhombic", "sg": "Cmcm, No. 63", "cell": [[2.145, -8.375, 0.000], [2.145, 8.375, 0.000], [0.000, 0.000, 12.160]], "species": ["Se", "Se", "Se", "Se", "Se", "Se", "K", "K", "Sn", "Sn", "Pr", "Pr"], "frac_coords": [[0.122, 0.878, 0.510], [0.505, 0.495, 0.750], [0.495, 0.505, 0.250], [0.878, 0.122, 0.490], [0.878, 0.122, 0.010], [0.122, 0.878, 0.990], [0.169, 0.831, 0.250], [0.831, 0.169, 0.750], [0.884, 0.116, 0.250], [0.116, 0.884, 0.750], [0.500, 0.500, 0.000], [0.500, 0.500, 0.500]]}

The calculated energies rank the structures as follows, beginning with the most stable: run w, run x.

Run w
{"formula": "KPrZnTe3", "functional": "PBE", "state": "optimized geometry", "crystal_system": "orthorhombic", "sg": "Pnma, No. 62", "cell": [[-2.343, 1.163, -12.440], [-0.698, -4.537, -0.293], [-13.244, 1.864, 2.669]], "species": ["Zn", "Zn", "Zn", "Zn", "Te", "Te", "Te", "Te", "Te", "Te", "Te", "Te", "Te", "Te", "Te", "Te", "Pr", "Pr", "Pr", "Pr", "K", "K", "K", "K"], "frac_coords": [[0.755, 0.000, 0.202], [0.255, 0.000, 0.298], [0.245, 0.500, 0.798], [0.745, 0.500, 0.702], [0.716, 0.500, 0.305], [0.956, 0.000, 0.157], [0.784, 0.000, 0.805], [0.216, 0.500, 0.195], [0.544, 0.500, 0.657], [0.895, 0.500, 0.562], [0.044, 0.500, 0.843], [0.456, 0.000, 0.343], [0.395, 0.500, 0.938], [0.284, 0.000, 0.695], [0.605, 0.000, 0.062], [0.105, 0.000, 0.438], [0.526, 0.000, 0.822], [0.026, 0.000, 0.678], [0.974, 0.500, 0.322], [0.474, 0.500, 0.178], [0.320, 0.500, 0.497], [0.680, 0.000, 0.503], [0.820, 0.500, 0.003], [0.180, 0.000, 0.997]]}

Run x
{"formula": "KPrZnTe3", "functional": "PBE", "state": "optimized geometry", "crystal_system": "orthorhombic", "sg": "Pnma, No. 62", "cell": [[16.182, 0.000, 0.000], [0.000, 4.491, 0.000], [0.000, 0.000, 12.114]], "species": ["Te", "Te", "Te", "Te", "Te", "Te", "Te", "Te", "Te", "Te", "Te", "Te", "Pr", "Pr", "Pr", "Pr", "K", "K", "K", "K", "Zn", "Zn", "Zn", "Zn"], "frac_coords": [[0.358, 0.250, 0.760], [0.897, 0.750, 0.081], [0.917, 0.250, 0.390], [0.603, 0.250, 0.581], [0.417, 0.250, 0.110], [0.397, 0.750, 0.419], [0.142, 0.750, 0.260], [0.858, 0.250, 0.740], [0.103, 0.250, 0.919], [0.083, 0.750, 0.610], [0.642, 0.750, 0.240], [0.583, 0.750, 0.890], [0.524, 0.250, 0.344], [0.976, 0.750, 0.844], [0.476, 0.750, 0.656], [0.024, 0.250, 0.156], [0.233, 0.250, 0.465], [0.267, 0.750, 0.965], [0.767, 0.750, 0.535], [0.733, 0.250, 0.035], [0.016, 0.750, 0.401], [0.984, 0.250, 0.599], [0.484, 0.250, 0.901], [0.516, 0.750, 0.099]]}

Run y
{"formula": "KPrZnTe3", "functional": "PBE", "state": "optimized geometry", "crystal_system": "monoclinic", "sg": "C2/m, No. 12", "cell": [[10.320, -2.312, 0.000], [10.320, 2.312, 0.000], [-1.985, 0.000, 8.977]], "species": ["Zn", "Zn", "K", "K", "Te", "Te", "Te", "Te", "Te", "Te", "Pr", "Pr"], "frac_coords": [[0.537, 0.537, 0.733], [0.463, 0.463, 0.267], [0.129, 0.129, 0.066], [0.871, 0.871, 0.934], [0.000, 0.000, 0.500], [0.332, 0.332, 0.189], [0.668, 0.668, 0.811], [0.675, 0.675, 0.344], [0.325, 0.325, 0.656], [0.500, 0.500, 0.000], [0.831, 0.831, 0.428], [0.169, 0.169, 0.572]]}

The calculated energies rank the structures as follows, beginning with the most stable: run x, run w, run y.

Run w
{"formula": "KPrZnTe3", "functional": "PBE", "state": "optimized geometry", "crystal_system": "orthorhombic", "sg": "Cmcm, No. 63", "cell": [[-2.704, -2.058, 2.921], [-1.971, -7.197, -3.459], [9.567, -5.138, 5.237]], "species": ["Te", "Te", "Te", "Te", "Te", "Te", "K", "K", "Pr", "Pr", "Zn", "Zn"], "frac_coords": [[0.634, 0.732, 0.069], [0.366, 0.268, 0.569], [0.070, 0.860, 0.750], [0.366, 0.268, 0.931], [0.930, 0.140, 0.250], [0.634, 0.732, 0.431], [0.250, 0.501, 0.250], [0.750, 0.499, 0.750], [0.000, 0.000, 0.500], [0.000, 0.000, 0.000], [0.464, 0.072, 0.750], [0.536, 0.928, 0.250]]}

Run x
{"formula": "KPrZnTe3", "functional": "PBE", "state": "optimized geometry", "crystal_system": "orthorhombic", "sg": "Pnma, No. 62", "cell": [[9.327, 0.000, 0.000], [0.000, 4.672, 0.000], [0.000, 0.000, 18.068]], "species": ["Te", "Te", "Te", "Te", "Te", "Te", "Te", "Te", "Te", "Te", "Te", "Te", "K", "K", "K", "K", "Pr", "Pr", "Pr", "Pr", "Zn", "Zn", "Zn", "Zn"], "frac_coords": [[0.370, 0.250, 0.553], [0.307, 0.750, 0.283], [0.507, 0.750, 0.914], [0.007, 0.750, 0.586], [0.807, 0.750, 0.217], [0.693, 0.250, 0.717], [0.870, 0.250, 0.947], [0.993, 0.250, 0.414], [0.130, 0.750, 0.053], [0.493, 0.250, 0.086], [0.193, 0.250, 0.783], [0.630, 0.750, 0.447], [0.923, 0.750, 0.791], [0.077, 0.250, 0.209], [0.577, 0.250, 0.291], [0.423, 0.750, 0.709], [0.252, 0.750, 0.450], [0.748, 0.250, 0.550], [0.752, 0.750, 0.050], [0.248, 0.250, 0.950], [0.132, 0.250, 0.641], [0.868, 0.750, 0.359], [0.368, 0.750, 0.141], [0.632, 0.250, 0.859]]}

The calculated energies rank the structures as follows, beginning with the most stable: run w, run x.